1.
! Li8ZnAg2 (PBE-GGA, optimized geometry); values from VASP
! Magnetic moment, μB per cell: 0.00
! Energy relative to the elements, eV per atom: -0.082
&SYSTEM
  ibrav = 0, nat = 11, ntyp = 3
/
ATOMIC_SPECIES
Li 6.94 Li.upf
Zn 65.41 Zn.upf
Ag 107.87 Ag.upf
ATOMIC_POSITIONS crystal
Li 0.579 0.151 0.668
Li 0.579 0.668 0.151
Li 0.421 0.849 0.332
Li 0.893 0.197 0.197
Li 0.923 0.590 0.590
Li 0.077 0.410 0.410
Li 0.421 0.332 0.849
Li 0.107 0.803 0.803
Zn 0.000 0.000 0.000
Ag 0.394 0.260 0.260
Ag 0.606 0.740 0.740
CELL_PARAMETERS angstrom
5.048 -0.148 -0.123
0.237 7.246 2.549
0.237 3.830 6.658

***

2.
! Li2Zn5Ag5 (PBE-GGA, optimized geometry); values from VASP
! Magnetic moment, μB per cell: 0.00
! Energy relative to the elements, eV per atom: -0.124
&SYSTEM
  ibrav = 0, nat = 12, ntyp = 3
/
ATOMIC_SPECIES
Zn 65.41 Zn.upf
Ag 107.87 Ag.upf
Li 6.94 Li.upf
ATOMIC_POSITIONS crystal
Zn 0.747 0.495 0.748
Zn 0.000 0.000 0.000
Zn 0.253 0.505 0.252
Zn 0.164 0.327 0.503
Zn 0.836 0.673 0.497
Ag 0.592 0.184 0.255
Ag 0.665 0.329 0.992
Ag 0.335 0.671 0.008
Ag 0.408 0.816 0.745
Ag 0.500 0.000 0.500
Li 0.918 0.835 0.253
Li 0.082 0.165 0.747
CELL_PARAMETERS angstrom
4.003 0.000 0.000
-2.002 6.207 -0.404
0.000 -3.756 7.920

***

3.
! LiZn6Ag12 (PBE-GGA, optimized geometry); values from VASP
! Magnetic moment, μB per cell: 0.00
! Energy relative to the elements, eV per atom: -0.045
&SYSTEM
  ibrav = 0, nat = 19, ntyp = 3
/
ATOMIC_SPECIES
Zn 65.41 Zn.upf
Ag 107.87 Ag.upf
Li 6.94 Li.upf
ATOMIC_POSITIONS crystal
Zn 0.431 0.643 0.954
Zn 0.643 0.954 0.431
Zn 0.954 0.431 0.643
Zn 0.357 0.046 0.569
Zn 0.046 0.569 0.357
Zn 0.569 0.357 0.046
Ag 0.323 0.473 0.206
Ag 0.833 0.263 0.895
Ag 0.105 0.167 0.737
Ag 0.473 0.206 0.323
Ag 0.794 0.677 0.527
Ag 0.527 0.794 0.677
Ag 0.206 0.323 0.473
Ag 0.737 0.105 0.167
Ag 0.677 0.527 0.794
Ag 0.263 0.895 0.833
Ag 0.167 0.737 0.105
Ag 0.895 0.833 0.263
Li 0.000 0.000 0.000
CELL_PARAMETERS angstrom
7.463 -0.921 -1.103
-2.041 7.237 -1.103
-2.041 -2.378 6.924